# 1
Compound: GaHgMo2
Source: OQMD
Functional: PBE
Structure: optimized geometry

Calculated values
Its crystal system is cubic. The raw total energy comes out at -5.727 eV per atom.

abc: 4.5727 4.5727 4.5727
angles: 60.00 60.00 60.00
With the nearest neighbours (Å) after each atom.
Fractional positions:
1 Ga 0.0000 0.0000 0.0000  4 Hg 2.80, 4 Mo 2.80
2 Hg 0.2500 0.2500 0.2500  4 Mo 2.80, 4 Ga 2.80
3 Mo 0.5000 0.5000 0.5000  4 Hg 2.80, 4 Mo 2.80
4 Mo 0.7500 0.7500 0.7500  4 Mo 2.80, 4 Ga 2.80



# 2
Compound: HoMgMo
Source: OQMD
Functional: PBE
Structure: optimized geometry

Calculated values
Its crystal system is cubic. The raw total energy comes out at -4.378 eV per atom. For the offset from the most stable computed form, the calculation gives 361.5 meV per atom.

abc: 4.8519 4.8519 4.8519
angles: 60.00 60.00 60.00
With the nearest neighbours (Å) after each atom.
Fractional positions:
1 Ho 0.0000 0.0000 0.0000  4 Mo 2.97, 4 Mg 2.97
2 Mg 0.7500 0.7500 0.7500  4 Ho 2.97
3 Mo 0.2500 0.2500 0.2500  4 Ho 2.97



# 3
Compound: LaPrAs2Os2O2
Source: OQMD
Functional: PBE
Structure: optimized geometry

Calculated values
Its crystal system is tetragonal. The raw total energy comes out at -8.103 eV per atom.

abc: 4.1311 4.1311 8.4081
angles: 90.00 90.00 90.00
With the nearest neighbours (Å) after each atom.
Fractional positions:
1 La 0.0000 0.0000 0.0000  4 O 2.38
2 Pr 0.5000 0.5000 0.7200  4 O 2.38
3 As 0.0000 0.0000 0.5226  4 Os 2.46
4 As 0.5000 0.5000 0.2040  4 Os 2.46
5 Os 0.0000 0.5000 0.3638  4 As 2.46
6 Os 0.5000 0.0000 0.3638  4 As 2.46
7 O 0.0000 0.5000 0.8600  2 La 2.38, 2 Pr 2.38
8 O 0.5000 0.0000 0.8600  2 La 2.38, 2 Pr 2.38



# 4
Compound: NaZrAgTe3
Source: OQMD
Functional: PBE
Structure: optimized geometry

Calculated values
Its crystal system is orthorhombic. The raw total energy comes out at -4.328 eV per atom. For the offset from the most stable computed form, the calculation gives 83.9 meV per atom.

abc: 13.0164 4.2048 12.6357
angles: 90.00 90.00 90.00
With the nearest neighbours (Å) after each atom.
Fractional positions:
1 Na 0.1742 0.2500 0.0256  4 Te 3.14-3.27, 2 Ag 3.22
2 Na 0.3258 0.7500 0.5256  4 Te 3.14-3.27, 2 Ag 3.22
3 Na 0.6742 0.2500 0.4744  4 Te 3.14-3.27, 2 Ag 3.22
4 Na 0.8258 0.7500 0.9744  4 Te 3.14-3.27, 2 Ag 3.22
5 Zr 0.0558 0.2500 0.3282  5 Te 2.78-3.01
6 Zr 0.4442 0.7500 0.8282  5 Te 2.78-3.01
7 Zr 0.5558 0.2500 0.1718  5 Te 2.78-3.01
8 Zr 0.9442 0.7500 0.6718  5 Te 2.78-3.01
9 Ag 0.2432 0.7500 0.2054  4 Te 2.78-2.83
10 Ag 0.2568 0.2500 0.7054  4 Te 2.78-2.83
11 Ag 0.7432 0.7500 0.2946  4 Te 2.78-2.83
12 Ag 0.7568 0.2500 0.7946  4 Te 2.78-2.83
13 Te 0.0342 0.7500 0.1619  1 Ag 2.78, 2 Zr 2.99
14 Te 0.0803 0.2500 0.5747  1 Ag 2.83, 3 Zr 3.01-3.13
15 Te 0.2320 0.7500 0.8514  1 Zr 2.78, 2 Ag 2.82
16 Te 0.2680 0.2500 0.3514  1 Zr 2.78, 2 Ag 2.82
17 Te 0.4197 0.7500 0.0747  1 Ag 2.83, 3 Zr 3.01-3.13
18 Te 0.4658 0.2500 0.6619  1 Ag 2.78, 2 Zr 2.99
19 Te 0.5342 0.7500 0.3381  1 Ag 2.78, 2 Zr 2.99
20 Te 0.5803 0.2500 0.9253  1 Ag 2.83, 3 Zr 3.01-3.13
21 Te 0.7320 0.7500 0.6486  1 Zr 2.78, 2 Ag 2.82
22 Te 0.7680 0.2500 0.1486  1 Zr 2.78, 2 Ag 2.82
23 Te 0.9197 0.7500 0.4253  1 Ag 2.83, 3 Zr 3.01-3.13
24 Te 0.9658 0.2500 0.8381  1 Ag 2.78, 2 Zr 2.99



# 5
Compound: Ag15Sb
Source: OQMD
Functional: PBE
Structure: optimized geometry

Calculated values
Its crystal system is monoclinic. The raw total energy comes out at -2.857 eV per atom. For the offset from the most stable computed form, the calculation gives 16.2 meV per atom.

abc: 5.8059 4.0935 35.7064
angles: 90.00 90.19 90.00
With the nearest neighbours (Å) after each atom.
Fractional positions:
1 Ag 0.1230 0.2500 0.1864  12 Ag 2.88-2.99
2 Ag 0.1228 0.2500 0.2703  9 Ag 2.90-2.99, 2 Sb 2.93
3 Ag 0.1251 0.2500 0.0207  12 Ag 2.90-2.95
4 Ag 0.1250 0.2500 0.1034  12 Ag 2.90-2.96
5 Ag 0.1253 0.2500 0.8550  12 Ag 2.90-2.98
6 Ag 0.1249 0.2500 0.9382  12 Ag 2.90-2.97
7 Ag 0.1263 0.2500 0.6887  2 Sb 2.90-2.91, 5 Ag 2.90-2.96
8 Ag 0.1261 0.2500 0.7716  12 Ag 2.90-2.98
9 Ag 0.3735 0.7500 0.8135  12 Ag 2.88-3.00
10 Ag 0.3738 0.7500 0.2274  11 Ag 2.90-2.94, 1 Sb 3.04
11 Ag 0.3747 0.7500 0.0621  12 Ag 2.90-2.99
12 Ag 0.3750 0.7500 0.1457  12 Ag 2.90-2.99
13 Ag 0.3752 0.7500 0.8965  12 Ag 2.90-2.97
14 Ag 0.3750 0.7500 0.9792  12 Ag 2.90-2.96
15 Ag 0.3763 0.7500 0.7295  9 Ag 2.90-3.00, 2 Sb 2.93
16 Ag 0.6237 0.2500 0.2705  9 Ag 2.90-3.00, 2 Sb 2.93
17 Ag 0.6250 0.2500 0.0208  12 Ag 2.90-2.96
18 Ag 0.6248 0.2500 0.1035  12 Ag 2.90-2.97
19 Ag 0.6250 0.2500 0.8543  12 Ag 2.90-2.99
20 Ag 0.6253 0.2500 0.9379  12 Ag 2.90-2.99
21 Ag 0.6262 0.2500 0.7726  11 Ag 2.90-2.94, 1 Sb 3.04
22 Ag 0.6265 0.2500 0.1865  12 Ag 2.88-3.00
23 Ag 0.8739 0.7500 0.2284  12 Ag 2.90-2.98
24 Ag 0.8737 0.7500 0.3113  2 Sb 2.90-2.91, 5 Ag 2.90-2.96
25 Ag 0.8751 0.7500 0.0618  12 Ag 2.90-2.97
26 Ag 0.8747 0.7500 0.1450  12 Ag 2.90-2.98
27 Ag 0.8750 0.7500 0.8966  12 Ag 2.90-2.96
28 Ag 0.8749 0.7500 0.9793  12 Ag 2.90-2.95
29 Ag 0.8772 0.7500 0.7297  9 Ag 2.90-2.99, 2 Sb 2.93
30 Ag 0.8770 0.7500 0.8136  12 Ag 2.88-2.99
31 Sb 0.3729 0.7500 0.3127  7 Ag 2.90-3.04
32 Sb 0.6271 0.2500 0.6873  7 Ag 2.90-3.04



# 6
Compound: SmSb
Source: OQMD
Functional: PBE
Structure: optimized geometry

Calculated values
Its crystal system is cubic. The raw total energy comes out at -5.598 eV per atom. For the offset from the most stable computed form, the calculation gives 0.0 meV per atom.

abc: 4.4665 4.4665 4.4665
angles: 60.00 60.00 60.00
With the nearest neighbours (Å) after each atom.
Fractional positions:
1 Sm 0.0000 0.0000 0.0000  6 Sb 3.16
2 Sb 0.5000 0.5000 0.5000  6 Sm 3.16